## LaB3Cl (PBE-GGA)

Data for an optimized crystal structure of LaB3Cl.

The space group is Pm-3m (No. 221) and the conventional cell measures 5.1953, 5.1953 and 5.1953 Å, with angles of 90.00, 90.00 and 90.00 degrees. Symmetry generates all atoms from La at (0.0000, 0.0000, 0.0000), B at (0.0000, 0.0000, 0.5000) and Cl at (0.5000, 0.5000, 0.5000).

As for the density of states at the Fermi level: 1.613 states/eV/atom. As for the total magnetization: 0.0 Bohr magnetons per cell. As for the formation energy without anion corrections: 2335 meV/atom. The calculated total energy is -3.0264 eV/atom. The calculation puts the density at 2.45 g/cm³.

## LaReOs4 (PBE-GGA)

Data for an optimized crystal structure of LaReOs4.

The space group is F-43m (No. 216) and the conventional cell measures 7.4782, 7.4782 and 7.4782 Å, with angles of 90.00, 90.00 and 90.00 degrees. Symmetry generates all atoms from La at (0.0000, 0.0000, 0.0000), Re at (0.2500, 0.2500, 0.2500) and Os at (0.1244, 0.1244, 0.6244).

As for the density of states at the Fermi level: 1.493 states/eV/atom. As for the total magnetization: 0.0 Bohr magnetons per cell. The calculated total energy is -9.8263 eV/atom. As for the calculated formation energy: 0.56 eV/atom. The calculation puts the density at 17.25 g/cm³.

## Y2TmAl2 (PBE-GGA)

Data for an optimized crystal structure of Y2TmAl2.

The space group is P2_1/m (No. 11) and the conventional cell measures 6.1166, 3.5658 and 12.5314 Å, with angles of 90.00, 96.37 and 90.00 degrees. Symmetry generates all atoms from Y at (0.0630, 0.2500, 0.3549), Y at (0.2245, 0.7500, 0.9267), Tm at (0.4619, 0.2500, 0.7104), Al at (0.2854, 0.2500, 0.1265) and Al at (0.3373, 0.7500, 0.5138).

As for the density of states at the Fermi level: 0.806 states/eV/atom. As for the total magnetization: 0.0 Bohr magnetons per cell. The calculated total energy is -5.1630 eV/atom. As for the calculated formation energy: -0.19 eV/atom. The calculation puts the density at 4.90 g/cm³.

## LiUAg2Se4 (PBE-GGA)

Data for an optimized crystal structure of LiUAg2Se4.

The space group is P2/m (No. 10) and the conventional cell measures 6.5717, 4.1801 and 6.9449 Å, with angles of 90.00, 108.54 and 90.00 degrees. Symmetry generates all atoms from Li at (0.0000, 0.0000, 0.0000), U at (0.0000, 0.5000, 0.5000), Ag at (0.5000, 0.0000, 0.5000), Ag at (0.5000, 0.5000, 0.0000), Se at (0.2375, 0.5000, 0.2452) and Se at (0.2382, 0.0000, 0.7441).

As for the density of states at the Fermi level: 0.754 states/eV/atom. As for the total magnetization: 1.0 Bohr magnetons per cell. As for the formation energy without anion corrections: -687 meV/atom. The calculated total energy is -4.7928 eV/atom. The calculation puts the density at 7.13 g/cm³.

## Be2VRh (PBE-GGA)

Data for an optimized crystal structure of Be2VRh.

The space group is Fm-3m (No. 225) and the conventional cell measures 5.5775, 5.5775 and 5.5775 Å, with angles of 90.00, 90.00 and 90.00 degrees. Symmetry generates all atoms from Be at (0.2500, 0.2500, 0.2500), V at (0.0000, 0.0000, 0.0000) and Rh at (0.0000, 0.0000, 0.5000).

As for the density of states at the Fermi level: 0.950 states/eV/atom. As for the total magnetization: 3.1 Bohr magnetons per cell. The calculated total energy is -6.2640 eV/atom. As for the calculated formation energy: -0.28 eV/atom. The calculation puts the density at 6.58 g/cm³.

## LiLa2In8 (PBE-GGA)

Data for an optimized crystal structure of LiLa2In8.

The space group is P4/mmm (No. 123) and the conventional cell measures 4.7976, 4.7976 and 12.5735 Å, with angles of 90.00, 90.00 and 90.00 degrees. Symmetry generates all atoms from Li at (0.0000, 0.0000, 0.0000), La at (0.0000, 0.0000, 0.3097), In at (0.0000, 0.5000, 0.1237), In at (0.0000, 0.5000, 0.5000) and In at (0.5000, 0.5000, 0.3085).

As for the density of states at the Fermi level: 0.385 states/eV/atom. As for the total magnetization: 0.0 Bohr magnetons per cell. The calculated total energy is -3.4525 eV/atom. As for the calculated formation energy: -0.39 eV/atom. The calculation puts the density at 6.90 g/cm³.

## Y2HgOs (PBE-GGA)

Data for an optimized crystal structure of Y2HgOs.

The space group is P2/m (No. 10) and the conventional cell measures 4.7579, 3.6027 and 5.7891 Å, with angles of 90.00, 90.90 and 90.00 degrees. Symmetry generates all atoms from Y at (0.0000, 0.0000, 0.0000), Y at (0.5000, 0.5000, 0.5000), Hg at (0.0000, 0.0000, 0.5000) and Os at (0.5000, 0.5000, 0.0000).

As for the density of states at the Fermi level: 0.649 states/eV/atom. As for the total magnetization: 0.0 Bohr magnetons per cell. The calculated total energy is -6.0192 eV/atom. As for the calculated formation energy: 0.10 eV/atom. The calculation puts the density at 9.52 g/cm³.

## PmSm3Tl (PBE-GGA)

Data for an optimized crystal structure of PmSm3Tl.

The space group is Cmcm (No. 63) and the conventional cell measures 4.9117, 25.8644 and 4.9024 Å, with angles of 90.00, 90.00 and 90.00 degrees. Symmetry generates all atoms from Pm at (0.0000, 0.1499, 0.2500), Sm at (0.0000, 0.0508, 0.7500), Sm at (0.0000, 0.2495, 0.7500), Sm at (0.0000, 0.4482, 0.7500) and Tl at (0.0000, 0.3466, 0.2500).

As for the density of states at the Fermi level: 1.464 states/eV/atom. As for the total magnetization: 0.0 Bohr magnetons per cell. The calculated total energy is -4.3848 eV/atom. As for the calculated formation energy: -0.13 eV/atom. The calculation puts the density at 8.54 g/cm³.

Among the records above, which one has the lowest calculated total energy? LaReOs4

Look up the calculated total energy of the second one. -9.8263 eV/atom

Which formula does entry 2 have? LaReOs4

Which formula does entry 7 have? Y2HgOs